[1]
SbTe2PIr | PBE | relaxed

abc: 5.241 5.241 5.094
angles: 90.00 90.00 90.00
Space group P4/mmm (No. 123)
Symmetry-distinct sites (fractional):
Sb (0.000, 0.000, 0.000) [1 per cell]
Te (0.000, 0.500, 0.500) [2 per cell]
P (0.500, 0.500, 0.000) [1 per cell]
Ir (0.000, 0.000, 0.500) [1 per cell]

Computed properties:
ΔE to the lowest computed polymorph in meV/atom: 208
Fermi-level density of states in states/eV per cell: 6.37



[2]
Sb2TePIr | PBE | relaxed

abc: 5.082 5.082 5.386
angles: 90.00 90.00 90.00
Space group P4/mmm (No. 123)
Symmetry-distinct sites (fractional):
Sb (0.000, 0.500, 0.000) [2 per cell]
Te (0.000, 0.000, 0.500) [1 per cell]
P (0.500, 0.500, 0.500) [1 per cell]
Ir (0.000, 0.000, 0.000) [1 per cell]

Computed properties:
ΔE to the lowest computed polymorph in meV/atom: 0
Fermi-level density of states in states/eV per cell: 6.13



[3]
SbTeP2Ir | PBE | relaxed

abc: 4.542 4.542 5.704
angles: 90.00 90.00 90.00
Space group P4/mmm (No. 123)
Symmetry-distinct sites (fractional):
Sb (0.000, 0.000, 0.000) [1 per cell]
Te (0.500, 0.500, 0.000) [1 per cell]
P (0.000, 0.500, 0.500) [2 per cell]
Ir (0.500, 0.500, 0.500) [1 per cell]

Computed properties:
Fermi-level density of states in states/eV per cell: 4.05
E in eV/cell: -24.772



[4]
Sb2TePIr | PBE | relaxed

abc: 4.956 4.956 5.082
angles: 90.00 90.00 90.00
Space group P4/mmm (No. 123)
Symmetry-distinct sites (fractional):
Sb (0.000, 0.500, 0.000) [2 per cell]
Te (0.000, 0.000, 0.500) [1 per cell]
P (0.000, 0.000, 0.000) [1 per cell]
Ir (0.500, 0.500, 0.500) [1 per cell]

Computed properties:
ΔE to the lowest computed polymorph in meV/atom: 352
Fermi-level density of states in states/eV per cell: 2.59